Record 1
VASP calculation (PBEsol) on a geometry-optimized CrHg3 structure.

- space-group type = Fm-3m

```
CrHg3
1.0
4.809 0.000 0.000
2.404 4.165 0.000
2.404 1.388 3.927
Hg Cr
3 1
Direct
0.250 0.250 0.250
0.500 0.500 0.500
0.750 0.750 0.750
0.000 0.000 0.000
```

---

Record 2
VASP calculation (PBEsol) on a geometry-optimized CoOs structure.

- space-group type = F-43m

```
CoOs
1.0
3.630 0.000 0.000
1.815 3.144 0.000
1.815 1.048 2.964
Co Os
1 1
Direct
0.000 0.000 0.000
0.750 0.750 0.750
```

---

Record 3
VASP calculation (PBEsol) on a geometry-optimized Cu2PRu structure.

- space-group type = Cmmm

```
Cu2PRu
1.0
-2.252 -0.474 1.269
0.625 -1.434 -2.111
3.967 -5.570 4.960
P Ru Cu
1 1 2
Direct
0.500 0.500 0.500
0.500 0.500 0.000
0.000 0.000 0.741
0.000 0.000 0.259
```

---

Record 4
VASP calculation (PBEsol) on a geometry-optimized Y2Cr structure.

- space-group type = I4/mcm

```
Y2Cr
1.0
-1.990 5.384 -0.823
-3.979 -4.060 1.150
3.450 0.246 4.655
Cr Y
2 4
Direct
0.250 0.250 0.000
0.750 0.750 0.000
0.330 0.170 0.500
0.830 0.330 0.159
0.670 0.830 0.500
0.170 0.670 0.841
```

---

Record 5
VASP calculation (PBEsol) on a geometry-optimized Li2YCu structure.

- space-group type = Fm-3m

```
Li2YCu
1.0
-3.615 0.519 -2.824
-0.079 -2.175 -4.072
-2.918 -3.512 -0.685
Cu Li Y
1 2 1
Direct
0.000 0.000 0.000
0.750 0.750 0.750
0.250 0.250 0.250
0.500 0.500 0.500
```

---

Record 6
VASP calculation (PBEsol) on a geometry-optimized CaTl2P structure.

- space-group type = Cm

```
CaTl2P
1.0
3.905 0.000 0.000
-1.953 4.979 0.011
0.000 -2.357 5.270
Tl Ca P
2 1 1
Direct
0.735 0.471 0.254
0.951 0.902 0.009
0.553 0.106 0.627
0.261 0.521 0.611
```

---

| no. | DOS at the Fermi energy (states/eV/atom) | VASP energy (eV/atom) | size of the total moment (μB/f.u.) |
| --- | --- | --- | --- |
| 1 | 0.4956 | -2.626 | 4.10 |
| 2 | 1.1848 | -8.512 | 0.00 |
| 3 | 0.9176 | -5.801 | 0.44 |
| 4 | 1.4381 | -7.562 | 2.36 |
| 5 | 1.2369 | -3.578 | 0.00 |
| 6 | 0.3965 | -3.635 | 0.00 |